Record 1
Here is an optimized crystal structure of NaZrAuSeS2 from OQMD via LeMat-Bulk. Energies are from GGA-PBE.

## Properties
SG: Cmcm, No. 63
Total magnetic moment in μB per formula unit: 0.0
DFT total energy in Ha/atom: -0.1887

The structure in POSCAR format:
```
NaZrAuSeS2
1.0
1.8883 -6.8428 0.0000
1.8883 6.8428 0.0000
0.0000 0.0000 10.2584
Au Se Na Zr S
2 2 2 2 4
Cartesian
1.8883 -0.8288 2.5646
1.8883 0.8288 7.6938
1.8883 5.6799 7.6938
1.8883 -5.6799 2.5646
1.8883 -3.5130 7.6938
1.8883 3.5130 2.5646
0.0000 0.0000 5.1292
0.0000 0.0000 0.0000
1.8883 1.7726 9.8990
1.8883 -1.7726 0.3594
1.8883 -1.7726 4.7698
1.8883 1.7726 5.4886
```


Record 2
Here is an optimized crystal structure of NaSiTeAuS2 from OQMD via LeMat-Bulk. Energies are from GGA-PBE.

## Properties
SG: Cmcm, No. 63
DFT total energy in Ha/atom: -0.1430

The structure in POSCAR format:
```
NaSiTeAuS2
1.0
5.6191 1.8267 5.2421
-7.3618 -1.7004 -2.3026
1.8874 -10.2848 1.5607
Au S Si Te Na
2 4 2 2 2
Cartesian
2.0713 -7.2355 3.5278
-1.9266 -2.9230 0.9723
-1.3846 -5.1602 1.3898
1.5293 -4.9984 3.1104
2.3629 -9.5407 3.7997
-2.2182 -0.6178 0.7005
0.9437 -5.1424 0.7803
0.0000 0.0000 0.0000
-6.1422 -4.0684 -1.4778
6.2869 -6.0901 5.9780
-2.3988 -8.4501 0.9297
2.5435 -1.7084 3.5704
```


Record 3
Here is an optimized crystal structure of NaSnTe2AuS from OQMD via LeMat-Bulk. Energies are from GGA-PBE.

## Properties
SG: Cmcm, No. 63
DFT total energy in Ha/atom: -0.1271

The structure in POSCAR format:
```
NaSnTe2AuS
1.0
2.1914 -6.4698 0.0000
2.1914 6.4698 0.0000
0.0000 0.0000 11.3816
Na Sn Te S Au
2 2 4 2 2
Cartesian
2.1914 2.7489 8.5362
2.1914 -2.7489 2.8454
0.0000 0.0000 5.6908
0.0000 0.0000 0.0000
2.1914 2.0804 0.3996
2.1914 -2.0804 6.0904
2.1914 2.0804 5.2911
2.1914 -2.0804 10.9819
2.1914 5.8912 2.8454
2.1914 -5.8912 8.5362
2.1914 0.6165 2.8454
2.1914 -0.6165 8.5362
```


Record 4
Here is an optimized crystal structure of NaTaAuS3 from OQMD via LeMat-Bulk. Energies are from GGA-PBE.

## Properties
SG: Cmcm, No. 63
Total magnetic moment in μB per formula unit: 0.0
DFT total energy in Ha/atom: -0.1993

The structure in POSCAR format:
```
NaTaAuS3
1.0
-0.0609 6.2757 -3.4542
-3.2746 6.0243 -2.0747
3.1191 4.4790 8.0826
Ta S Na Au
2 6 2 2
Cartesian
1.5595 2.2395 4.0413
0.0000 0.0000 0.0000
2.0945 4.2621 5.6562
-0.6019 9.8893 0.4000
0.3855 6.8897 2.1537
1.8198 8.9494 5.8705
-2.3109 12.5169 -3.1025
-2.0362 7.8296 -3.3168
-0.0898 4.3263 0.5793
-0.1267 12.4527 1.9744
-1.1435 8.2122 -1.1674
0.9271 8.5668 3.7212
```


Record 5
Here is an optimized crystal structure of NaTcAuS3 from OQMD via LeMat-Bulk. Energies are from GGA-PBE.

## Properties
SG: Cmcm, No. 63
Total magnetic moment in μB per formula unit: 2.6
DFT total energy in Ha/atom: -0.1788

The structure in POSCAR format:
```
NaTcAuS3
1.0
1.7793 -7.3423 0.0000
1.7793 7.3423 0.0000
0.0000 0.0000 9.6162
S Tc Au Na
6 2 2 2
Cartesian
1.7793 1.7090 9.4963
1.7793 6.7253 7.2121
1.7793 -1.7090 4.6882
1.7793 -6.7253 2.4040
1.7793 1.7090 4.9280
1.7793 -1.7090 0.1199
0.0000 0.0000 4.8081
0.0000 0.0000 0.0000
1.7793 -1.9782 2.4040
1.7793 1.9782 7.2121
1.7793 -2.9425 7.2121
1.7793 2.9425 2.4040
```


Record 6
Here is an optimized crystal structure of NaTcTeAuS2 from OQMD via LeMat-Bulk. Energies are from GGA-PBE.

## Properties
SG: Cmcm, No. 63
Total magnetic moment in μB per formula unit: 2.3
DFT total energy in Ha/atom: -0.1715

The structure in POSCAR format:
```
NaTcTeAuS2
1.0
4.7018 6.1539 1.8386
-6.9521 -3.4484 -1.7702
-1.7348 -1.6989 10.1225
S Tc Na Au Te
4 2 2 2 2
Cartesian
-5.7279 -2.4466 -1.1166
-6.5059 -3.2086 3.4234
2.5208 4.2151 6.7676
1.7428 3.4532 11.3075
-1.1252 1.3527 0.0342
-1.9925 0.5033 5.0955
-5.4985 -2.4529 6.6747
1.5134 3.4594 3.5162
2.1012 3.8090 9.0281
-6.0863 -2.8024 1.1629
-2.3317 0.2912 2.3255
-1.6534 0.7153 7.8654
```


Record 7
Here is an optimized crystal structure of NaTe2WAuS from OQMD via LeMat-Bulk. Energies are from GGA-PBE.

## Properties
SG: Cmcm, No. 63
Total magnetic moment in μB per formula unit: 1.6
DFT total energy in Ha/atom: -0.1760

The structure in POSCAR format:
```
NaTe2WAuS
1.0
-6.3217 6.1092 1.8268
5.4047 -6.8257 2.1962
6.5579 6.0185 2.5668
Na Au W Te S
2 2 2 4 2
Cartesian
-1.7397 4.3680 2.5611
7.3806 0.9340 4.0285
2.8494 5.9321 3.8858
2.7914 -0.6301 2.7039
0.0000 0.0000 0.0000
3.2790 3.0092 1.2834
-1.5895 1.2547 2.0409
1.3278 3.9320 3.1827
4.3131 1.3700 3.4070
7.2303 4.0473 4.5488
-4.6408 7.5682 2.4698
10.2817 -2.2661 4.1199
```


Record 8
Here is an optimized crystal structure of NaTeWAuS2 from OQMD via LeMat-Bulk. Energies are from GGA-PBE.

## Properties
SG: Cmcm, No. 63
Total magnetic moment in μB per formula unit: 0.9
DFT total energy in Ha/atom: -0.1848

The structure in POSCAR format:
```
NaTeWAuS2
1.0
1.7247 -7.5521 0.0000
1.7247 7.5521 0.0000
0.0000 0.0000 10.3274
S W Au Te Na
4 2 2 2 2
Cartesian
1.7247 -5.8081 4.8593
1.7247 -5.8081 0.3044
1.7247 5.8081 5.4681
1.7247 5.8081 10.0230
1.7247 0.0000 5.1637
1.7247 0.0000 0.0000
1.7247 6.4476 7.7456
1.7247 -6.4476 2.5819
1.7247 -1.3408 2.5819
1.7247 1.3408 7.7456
1.7247 3.5227 2.5819
1.7247 -3.5227 7.7456
```


Record 9
Here is an optimized crystal structure of NaZrTe2AuS from OQMD via LeMat-Bulk. Energies are from GGA-PBE.

## Properties
SG: Cmcm, No. 63
Total magnetic moment in μB per formula unit: 0.0
DFT total energy in Ha/atom: -0.1715

The structure in POSCAR format:
```
NaZrTe2AuS
1.0
2.0106 -7.4377 0.0000
2.0106 7.4377 0.0000
0.0000 0.0000 10.2461
Na Te Au Zr S
2 4 2 2 2
Cartesian
2.0106 -3.7770 7.6846
2.0106 3.7770 2.5615
2.0106 5.2878 5.4985
2.0106 -5.2878 0.3754
2.0106 5.2878 9.8707
2.0106 -5.2878 4.7476
2.0106 -6.9083 2.5615
2.0106 6.9083 7.6846
2.0106 0.0000 5.1231
2.0106 0.0000 0.0000
2.0106 0.9808 7.6846
2.0106 -0.9808 2.5615
```


Record 10
Here is an optimized crystal structure of NaThAuS3 from OQMD via LeMat-Bulk. Energies are from GGA-PBE.

## Properties
SG: Cmcm, No. 63
Total magnetic moment in μB per formula unit: 0.0
DFT total energy in Ha/atom: -0.1963

The structure in POSCAR format:
```
NaThAuS3
1.0
2.0549 -6.5916 0.0000
2.0549 6.5916 0.0000
0.0000 0.0000 10.6381
Au S Na Th
2 6 2 2
Cartesian
2.0549 -6.0819 7.9785
2.0549 6.0819 2.6595
2.0549 1.1020 2.6595
2.0549 4.7694 4.7453
2.0549 -4.7694 5.8927
2.0549 -4.7694 10.0644
2.0549 -1.1020 7.9785
2.0549 4.7694 0.5737
2.0549 3.2788 7.9785
2.0549 -3.2788 2.6595
2.0549 0.0000 5.3190
2.0549 0.0000 0.0000
```


Record 11
Here is an optimized crystal structure of NaWAuS3 from OQMD via LeMat-Bulk. Energies are from GGA-PBE.

## Properties
SG: Cmcm, No. 63
Total magnetic moment in μB per formula unit: 0.0
DFT total energy in Ha/atom: -0.1961

The structure in POSCAR format:
```
NaWAuS3
1.0
-1.5288 1.1124 2.8266
3.2637 -4.5767 5.6119
6.8365 6.3463 1.1998
Na Au S W
2 2 6 2
Cartesian
2.6487 -0.4464 5.6995
5.9226 3.3285 3.9389
2.1555 0.6000 2.9753
6.4159 2.2821 6.6631
5.0339 0.4256 6.6463
0.2526 -0.5928 2.4156
4.8155 -2.7897 5.7479
3.5374 2.4565 2.9920
8.3187 3.4749 7.2228
3.7559 5.6718 3.8904
3.4182 3.1731 0.5999
0.0000 0.0000 0.0000
```


Record 12
Here is an optimized crystal structure of NaZrAuS3 from OQMD via LeMat-Bulk. Energies are from GGA-PBE.

## Properties
SG: P2_1/m, No. 11
Total magnetic moment in μB per formula unit: 0.0
Excess energy over the best structure of this formula in the dataset in kJ/mol of atoms: 0.0

The structure in POSCAR format:
```
NaZrAuS3
1.0
-2.6211 2.3561 -6.8450
-2.5312 -2.7372 0.0271
-4.9768 4.6654 6.3796
Na S Au Zr
2 6 2 2
Cartesian
-6.1658 1.9255 3.2634
-3.9633 2.3589 -3.7017
-4.8795 3.2534 1.0712
-6.2603 4.4999 -2.0019
-3.8688 -0.2155 1.5636
-1.8402 0.4133 -1.9052
-5.2496 1.0310 -1.5095
-8.2889 3.8711 1.4669
-7.6644 5.8195 0.1371
-2.4647 -1.5351 -0.5754
-3.1249 1.6196 -0.0528
-7.0042 2.6647 -0.3855
```


Record 13
Here is an optimized crystal structure of NaZrAuS3 from OQMD via LeMat-Bulk. Energies are from GGA-PBE.

## Properties
SG: Pnma, No. 62
Total magnetic moment in μB per formula unit: 0.0
Excess energy over the best structure of this formula in the dataset in kJ/mol of atoms: 7.0

The structure in POSCAR format:
```
NaZrAuS3
1.0
11.5160 0.0000 0.0000
0.0000 3.7876 0.0000
0.0000 0.0000 11.5856
Au S Na Zr
4 12 4 4
Cartesian
3.5949 0.0000 2.9025
2.1631 0.0000 8.6952
9.3529 1.8938 2.8903
7.9212 1.8938 8.6831
0.8705 0.0000 6.6692
4.0780 1.8938 8.5853
7.7145 1.8938 6.2425
9.5595 1.8938 0.4497
1.6800 1.8938 2.7925
9.8361 0.0000 8.7930
6.6285 1.8938 10.7091
4.8875 0.0000 0.8764
7.4380 0.0000 3.0002
1.9565 0.0000 11.1359
3.8015 0.0000 5.3431
10.6455 1.8938 4.9163
5.7741 0.0000 7.5180
11.5000 0.0000 1.7252
0.0161 1.8938 9.8603
5.7419 1.8938 4.0675
1.9510 1.8938 5.1638
7.7090 0.0000 0.6289
9.5650 0.0000 6.4217
3.8070 1.8938 10.9566
```


Record 14
Here is an optimized crystal structure of NaZrAuS3 from OQMD via LeMat-Bulk. Energies are from GGA-PBE.

## Properties
SG: Cmcm, No. 63
Total magnetic moment in μB per formula unit: 0.0
Excess energy over the best structure of this formula in the dataset in kJ/mol of atoms: 3.6

The structure in POSCAR format:
```
NaZrAuS3
1.0
-3.4837 0.7498 6.0425
2.5047 -4.2573 -4.9812
8.6087 -0.8685 5.0710
Au S Zr Na
2 6 2 2
Cartesian
2.1945 -2.4156 0.8194
5.4351 -1.9604 5.3129
4.2810 -4.1601 -3.0215
3.2138 -1.5442 4.6394
7.1339 -1.9397 6.9486
0.4958 -2.4363 -0.8163
4.4159 -2.8318 1.4929
3.3487 -0.2158 9.1538
0.0000 0.0000 0.0000
4.3043 -0.4343 2.5355
7.3222 -3.5383 1.8392
0.3074 -0.8377 4.2931
```


Record 15
Here is an optimized crystal structure of NaSb2Au2 from OQMD via LeMat-Bulk. Energies are from GGA-PBE.

## Properties
SG: I4/mmm, No. 139
DFT total energy in Ha/atom: -0.1245

The structure in POSCAR format:
```
NaSb2Au2
1.0
-2.3523 2.3523 5.9313
2.3523 -2.3523 5.9313
2.3523 2.3523 -5.9313
Sb Au Na
2 2 1
Cartesian
0.0000 0.0000 4.4961
0.0000 0.0000 7.3664
0.0000 2.3523 2.9656
2.3523 0.0000 2.9656
0.0000 0.0000 0.0000
```


Record 16
Here is an optimized crystal structure of Na2SbAu from OQMD via LeMat-Bulk. Energies are from GGA-PBE.

## Properties
SG: Cmcm, No. 63
DFT total energy in Ha/atom: -0.1090

The structure in POSCAR format:
```
Na2SbAu
1.0
-2.6281 3.2854 -4.2409
-4.0038 3.1075 3.1621
3.9463 4.2349 0.8351
Na Au Sb
4 2 2
Cartesian
-2.7013 8.3880 0.9481
0.0157 2.2396 -1.1918
1.5406 4.2991 1.6381
-4.2262 6.3286 -1.8818
-3.3160 3.1964 -0.5394
-1.3428 5.3138 -0.1218
-1.9135 4.3089 -2.5685
-0.7721 6.3188 2.3249
```


Record 17
Here is an optimized crystal structure of Na5Sb2Au from OQMD via LeMat-Bulk. Energies are from GGA-PBE.

## Properties
SG: R-3m, No. 166
DFT total energy in Ha/atom: -0.0996

The structure in POSCAR format:
```
Na5Sb2Au
1.0
2.6328 1.5200 9.0642
-2.6328 1.5200 9.0642
0.0000 -3.0400 9.0642
Na Sb Au
5 2 1
Cartesian
0.0000 0.0000 10.2211
0.0000 0.0000 13.5964
0.0000 0.0000 16.9717
0.0000 0.0000 21.2285
0.0000 0.0000 5.9642
0.0000 0.0000 2.6501
0.0000 0.0000 24.5426
0.0000 0.0000 0.0000
```


Record 18
Here is an optimized crystal structure of Na4SiSbAu2 from OQMD via LeMat-Bulk. Energies are from GGA-PBE.

## Properties
SG: P-4m2, No. 115
DFT total energy in Ha/atom: -0.1058

The structure in POSCAR format:
```
Na4SiSbAu2
1.0
-3.6561 1.3059 2.7752
2.1585 -1.9722 3.7717
3.2088 6.1037 1.3552
Na Au Sb Si
4 2 1 1
Cartesian
-0.7488 -0.3331 3.2735
1.9296 0.6315 2.2450
0.5304 5.1392 2.3836
1.6044 3.0519 0.6776
3.3855 3.4008 2.8598
-0.9255 2.3698 1.7688
0.0000 0.0000 0.0000
0.8556 2.7187 3.9510
```


Record 19
Here is an optimized crystal structure of NaAu3Se5 from OQMD via LeMat-Bulk. Energies are from GGA-PBE.

## Properties
SG: P6/mmm, No. 191
DFT total energy in Ha/atom: -0.1170

The structure in POSCAR format:
```
NaAu3Se5
1.0
5.5644 0.0000 0.0000
-2.7822 4.8189 0.0000
0.0000 0.0000 8.5227
Se Na Au
5 1 3
Cartesian
0.0000 3.2126 1.1281
2.7822 1.6063 1.1281
0.0000 0.0000 4.2614
2.7822 1.6063 7.3946
0.0000 3.2126 7.3946
0.0000 0.0000 0.0000
2.7822 0.0000 4.2614
1.3911 2.4094 4.2614
-1.3911 2.4094 4.2614
```


Record 20
Here is an optimized crystal structure of NaAuSe from OQMD via LeMat-Bulk. Energies are from GGA-PBE.

## Properties
SG: Pnma, No. 62
DFT total energy in Ha/atom: -0.1227

The structure in POSCAR format:
```
NaAuSe
1.0
-3.4193 8.5750 -3.4495
-5.4625 -1.5367 1.5946
0.7930 2.3011 4.9341
Se Au Na
4 4 4
Cartesian
-6.0404 4.9094 0.3800
-3.7154 8.8413 1.2400
-2.0484 4.4300 2.6992
-4.3735 0.4981 1.8393
0.3965 1.1505 2.4671
-1.7096 4.2875 -1.7247
-2.3348 0.3822 3.2644
-4.4409 3.5191 -0.9274
-1.7874 0.8336 0.1273
-6.3014 8.5057 2.9519
-3.1597 6.1000 0.5016
-4.9291 3.2393 2.5777
```


Record 21
Here is an optimized crystal structure of NaAu4Se4 from OQMD via LeMat-Bulk. Energies are from GGA-PBE.

## Properties
SG: P-3m1, No. 164
DFT total energy in Ha/atom: -0.1211

The structure in POSCAR format:
```
NaAu4Se4
1.0
4.3895 0.0000 0.0000
-2.1948 3.8014 0.0000
0.0000 0.0000 13.3503
Au Na Se
4 1 4
Cartesian
2.1947 1.2671 1.9364
2.1947 1.2671 8.8255
0.0000 2.5343 11.4139
0.0000 2.5343 4.5248
0.0000 0.0000 6.6752
2.1947 1.2671 4.6594
0.0000 0.0000 1.2066
0.0000 0.0000 12.1437
0.0000 2.5343 8.6909
```